(A)
A plane-wave DFT calculation with PBE-GGA was carried out for Al2TlCo after structural relaxation.

Summary:
DOS(E_F) in states/eV per cell: 5.5

Cell: 8.5199 2.8755 6.6399 Å, 90.00 110.39 90.00°
With the nearest neighbours (Å) after each atom.
Space group Cm (No. 8)
One atom of each set of equivalent atoms:
1 Al 0.0000 0.0000 0.0000 x2  3 Co 2.35-2.39
2 Al 0.1906 0.0000 0.7100 x2  2 Co 2.38
3 Tl 0.3541 0.0000 0.3902 x2  2 Co 2.79, 2 Tl 2.88, 1 Al 2.92
4 Co 0.2262 0.5000 0.0084 x2  5 Al 2.35-2.39

***

(B)
A plane-wave DFT calculation with PBE-GGA was carried out for Al2TlCo after structural relaxation.

Summary:
DOS(E_F) in states/eV per cell: 4.5

Cell: 8.0022 3.0547 6.1474 Å, 90.00 102.60 90.00°
With the nearest neighbours (Å) after each atom.
Space group C2/m (No. 12)
One atom of each set of equivalent atoms:
1 Al 0.2277 0.0000 0.1676 x4  3 Co 2.43-2.61, 2 Al 2.65
2 Tl 0.0000 0.0000 0.5000 x2  6 Al 3.02-3.05, 2 Tl 3.05
3 Co 0.0000 0.5000 0.0000 x2  6 Al 2.43-2.61

***

Which structure is most stable? (A), by 85 meV per atom over the runner-up.

***

(A)
A plane-wave DFT calculation with PBE-GGA was carried out for Al2TlCo after structural relaxation.

Summary:
DOS(E_F) in states/eV per cell: 3.9

Cell: 2.8031 4.5261 11.1680 Å, 90.00 90.00 90.00°
With the nearest neighbours (Å) after each atom.
Space group Immm (No. 71)
One atom of each set of equivalent atoms:
1 Al 0.0000 0.0000 0.1898 x4  2 Co 2.54, 2 Al 2.80
2 Tl 0.0000 0.5000 0.0000 x2  4 Co 2.66, 2 Tl 2.80
3 Co 0.0000 0.5000 0.5000 x2  4 Al 2.54, 4 Tl 2.66, 2 Co 2.80

***

(B)
A plane-wave DFT calculation with PBE-GGA was carried out for Al2TlCo after structural relaxation.

Summary:
DOS(E_F) in states/eV per cell: 5.5

Cell: 2.8045 4.0416 12.8459 Å, 90.00 90.00 90.00°
With the nearest neighbours (Å) after each atom.
Space group Imm2 (No. 44)
One atom of each set of equivalent atoms:
1 Al 0.0000 0.0000 0.0000 x2  4 Co 2.46
2 Al 0.0000 0.5000 0.1591 x2  2 Co 2.41
3 Tl 0.0000 0.5000 0.8091 x2  2 Tl 2.80, 2 Co 2.90, 4 Al 3.12
4 Co 0.0000 0.0000 0.5068 x2  6 Al 2.41-2.46

***

Which structure is most stable? (B), by 172 meV per atom over the runner-up.

***

(A)
A plane-wave DFT calculation with PBE-GGA was carried out for Al2TlCo after structural relaxation.

Summary:
DOS(E_F) in states/eV per cell: 2.6

Cell: 3.0129 3.5761 6.4977 Å, 90.00 90.00 90.00°
With the nearest neighbours (Å) after each atom.
Space group Pmm2 (No. 25)
One atom of each set of equivalent atoms:
1 Al 0.0000 0.0000 0.0000 x1  1 Co 2.39
2 Al 0.5000 0.5000 0.2477 x1  4 Co 2.46
3 Tl 0.5000 0.5000 0.6872 x1  5 Al 2.86-3.10, 2 Tl 3.01, 4 Co 3.13
4 Co 0.0000 0.0000 0.3672 x1  5 Al 2.39-2.46

***

(B)
A plane-wave DFT calculation with PBE-GGA was carried out for Al2TlCo after structural relaxation.

Summary:
DOS(E_F) in states/eV per cell: 1.9

Cell: 3.3277 4.1476 5.2602 Å, 90.00 104.72 90.00°
With the nearest neighbours (Å) after each atom.
Space group P2/m (No. 10)
One atom of each set of equivalent atoms:
1 Al 0.1607 0.0000 0.2894 x2  2 Co 2.48, 2 Al 2.69-2.73
2 Tl 0.5000 0.5000 0.0000 x1  2 Co 2.63
3 Co 0.5000 0.5000 0.5000 x1  4 Al 2.48, 2 Tl 2.63

***

(C)
A plane-wave DFT calculation with PBE-GGA was carried out for Al2TlCo after structural relaxation.

Summary:
DOS(E_F) in states/eV per cell: 4.9

Cell: 5.3695 7.6888 3.2924 Å, 90.00 90.00 90.00°
With the nearest neighbours (Å) after each atom.
Space group Cmmm (No. 65)
One atom of each set of equivalent atoms:
1 Al 0.2500 0.2500 0.0000 x4  2 Al 2.68, 4 Tl 2.86, 4 Co 2.86
2 Tl 0.0000 0.0000 0.5000 x2  2 Co 2.68, 8 Al 2.86
3 Co 0.0000 0.5000 0.5000 x2  2 Tl 2.68, 8 Al 2.86

***

Which structure is most stable? (A), by 81 meV per atom over the runner-up.

***

(A)
A plane-wave DFT calculation with PBE-GGA was carried out for AlTl2Co2 after structural relaxation.

Summary:
DOS(E_F) in states/eV per cell: 6.6

Cell: 3.3566 3.3566 17.3436 Å, 90.00 90.00 90.00°
With the nearest neighbours (Å) after each atom.
Space group I4/mmm (No. 139)
One atom of each set of equivalent atoms:
1 Al 0.0000 0.0000 0.0000 x2  8 Tl 3.13, 4 Al 3.36
2 Tl 0.0000 0.0000 0.3822 x4  4 Co 2.84, 4 Al 3.13
3 Co 0.0000 0.5000 0.2500 x4  4 Co 2.37

***

(B)
A plane-wave DFT calculation with PBE-GGA was carried out for AlTl2Co2 after structural relaxation.

Summary:
DOS(E_F) in states/eV per cell: 8.2

Cell: 7.5540 7.5540 3.0619 Å, 90.00 90.00 90.00°
With the nearest neighbours (Å) after each atom.
Space group P4/mbm (No. 127)
One atom of each set of equivalent atoms:
1 Al 0.0000 0.0000 0.0000 x2  4 Tl 2.87, 2 Al 3.06
2 Tl 0.1512 0.3488 0.0000 x4  6 Co 2.65-2.72, 2 Al 2.87
3 Co 0.1467 0.6467 0.5000 x4  6 Tl 2.65-2.72

***

Which structure is most stable? (A), by 159 meV per atom over the runner-up.

***

(A)
A plane-wave DFT calculation with PBE-GGA was carried out for AlTlCo after structural relaxation.

Summary:
DOS(E_F) in states/eV per cell: 2.2

Cell: 4.1733 4.1733 3.4515 Å, 90.00 90.00 120.00°
With the nearest neighbours (Å) after each atom.
Space group P-6m2 (No. 187)
One atom of each set of equivalent atoms:
1 Al 0.0000 0.0000 0.0000 x1  3 Co 2.41
2 Tl 0.3333 0.6667 0.5000 x1  6 Al 2.96, 6 Co 2.96
3 Co 0.6667 0.3333 0.0000 x1  3 Al 2.41

***

(B)
A plane-wave DFT calculation with PBE-GGA was carried out for AlTlCo after structural relaxation.

Summary:
DOS(E_F) in states/eV per cell: 2.7

Cell: 3.0898 3.0898 6.4043 Å, 90.00 90.00 120.00°
With the nearest neighbours (Å) after each atom.
Space group P3m1 (No. 156)
One atom of each set of equivalent atoms:
1 Al 0.0000 0.0000 0.0000 x1  3 Co 2.43
2 Tl 0.3333 0.6667 0.5952 x1  3 Co 2.81, 6 Tl 3.09
3 Co 0.6667 0.3333 0.2567 x1  3 Al 2.43

***

(C)
A plane-wave DFT calculation with PBE-GGA was carried out for AlTlCo after structural relaxation.

Summary:
DOS(E_F) in states/eV per cell: 10.4

Cell: 6.0237 6.0237 6.0237 Å, 90.00 90.00 90.00°
With the nearest neighbours (Å) after each atom.
Space group F-43m (No. 216)
One atom of each set of equivalent atoms:
1 Al 0.0000 0.0000 0.0000 x4  4 Co 2.61
2 Tl 0.0000 0.0000 0.5000 x4  4 Co 2.61
3 Co 0.2500 0.2500 0.2500 x4  4 Tl 2.61, 4 Al 2.61

***

Which structure is most stable? (C), by 69 meV per atom over the runner-up.

***

(A)
A plane-wave DFT calculation with PBE-GGA was carried out for AlVCo4 after structural relaxation.

Summary:
DOS(E_F) in states/eV per cell: 33.4

Cell: 6.5599 6.5599 6.5599 Å, 90.00 90.00 90.00°
With the nearest neighbours (Å) after each atom.
Space group F-43m (No. 216)
One atom of each set of equivalent atoms:
1 Al 0.0000 0.0000 0.0000 x4  12 Co 2.72, 4 V 2.84
2 V 0.2500 0.2500 0.2500 x4  12 Co 2.72, 4 Al 2.84
3 Co 0.1254 0.1254 0.6254 x16  6 Co 2.31-2.33

***

(B)
A plane-wave DFT calculation with PBE-GGA was carried out for AlVCo4 after structural relaxation.

Summary:
DOS(E_F) in states/eV per cell: 16.4

Cell: 8.0506 2.5505 7.9445 Å, 90.00 118.38 90.00°
With the nearest neighbours (Å) after each atom.
Space group C2/m (No. 12)
One atom of each set of equivalent atoms:
1 Al 0.0000 0.0000 0.0000 x2  8 Co 2.43-2.49, 2 Al 2.55
2 V 0.0000 0.5000 0.5000 x2  8 Co 2.38-2.49, 2 V 2.55
3 Co 0.1514 0.5000 0.8407 x4  1 V 2.38, 3 Al 2.47-2.49, 7 Co 2.55-2.59
4 Co 0.1595 0.0000 0.3477 x4  3 V 2.41-2.49, 1 Al 2.43, 7 Co 2.50-2.59

***

Which structure is most stable? (A), by 165 meV per atom over the runner-up.